Record 1
Density functional theory data (PBE) for an optimized crystal structure of CaPbW.

Unit cell a=3.2547 b=3.2547 c=7.6602 alpha=90.00 beta=90.00 gamma=120.00
Sites, in units of the cell vectors:
Pb: 0.6667 0.3333 0.3556
W: 0.3333 0.6667 0.6620
Ca: 0.0000 0.0000 0.9825

## Properties
* magnetic moment: 0.00 μB per formula unit
* total DFT energy (no corrections): -5.421 eV/atom
* energy above the most stable polymorph in this dataset: 0.122 eV per atom

=====

Record 2
Density functional theory data (PBE) for an optimized crystal structure of ZrTlRe2.

Unit cell a=4.6875 b=4.6875 c=4.6875 alpha=60.00 beta=60.00 gamma=60.00
Sites, in units of the cell vectors:
Zr: 0.7500 0.7500 0.7500
Re: 0.0000 0.0000 0.0000
Re: 0.2500 0.2500 0.2500
Tl: 0.5000 0.5000 0.5000

## Properties
* magnetic moment: 0.00 μB per formula unit
* total DFT energy (no corrections): -8.351 eV/atom
* energy above the most stable polymorph in this dataset: 0.454 eV per atom

=====

Record 3
Density functional theory data (PBE) for an optimized crystal structure of SrZnP.

Unit cell a=4.9409 b=4.9409 c=4.9409 alpha=60.00 beta=60.00 gamma=60.00
Sites, in units of the cell vectors:
Zn: 0.0000 0.0000 0.0000
Sr: 0.2500 0.2500 0.2500
P: 0.5000 0.5000 0.5000

## Properties
* magnetic moment: 0.00 μB per formula unit
* total DFT energy (no corrections): -2.818 eV/atom